No. 1
Compound: Ba2LaCo
Source: Alexandria via LeMat-Bulk
Functional: PBE-GGA
Structure: optimized geometry

Cell and atoms, written as CIF:
```
data_Ba2LaCo
_chemical_formula_sum 'Ba4 La2 Co2'
_cell_length_a 4.757
_cell_length_b 4.757
_cell_length_c 12.039
_cell_angle_alpha 90.00
_cell_angle_beta 90.00
_cell_angle_gamma 90.00
_space_group_name_H-M_alt 'I 4/m m m'
_space_group_IT_number 139
_space_group_name_Hall '-I 4 2'
loop_
_atom_site_label
_atom_site_type_symbol
_atom_site_fract_x
_atom_site_fract_y
_atom_site_fract_z
Ba1 Ba 0.000 0.500 0.250
La1 La 0.000 0.000 0.000
Co1 Co 0.000 0.000 0.500
```

The spin magnetization is 0.70 μB/cell. For the total energy, the calculation gives -3.3397 eV per atom.

---

No. 2
Compound: BaLa3Co
Source: Alexandria via LeMat-Bulk
Functional: PBE-GGA
Structure: optimized geometry

Cell and atoms, written as CIF:
```
data_BaLa3Co
_chemical_formula_sum 'Ba1 La3 Co1'
_cell_length_a 5.679
_cell_length_b 5.679
_cell_length_c 5.679
_cell_angle_alpha 90.00
_cell_angle_beta 90.00
_cell_angle_gamma 90.00
_space_group_name_H-M_alt 'P m -3 m'
_space_group_IT_number 221
_space_group_name_Hall '-P 4 2 3'
loop_
_atom_site_label
_atom_site_type_symbol
_atom_site_fract_x
_atom_site_fract_y
_atom_site_fract_z
Ba1 Ba 0.000 0.000 0.000
La1 La 0.000 0.500 0.500
Co1 Co 0.500 0.500 0.500
```

The spin magnetization is 0.00 μB/cell. For the total energy, the calculation gives -4.7316 eV per atom.

---

No. 3
Compound: Ba2LaCo
Source: Alexandria via LeMat-Bulk
Functional: PBE-GGA
Structure: optimized geometry

Cell and atoms, written as CIF:
```
data_Ba2LaCo
_chemical_formula_sum 'Ba4 La2 Co2'
_cell_length_a 3.699
_cell_length_b 4.253
_cell_length_c 19.519
_cell_angle_alpha 90.00
_cell_angle_beta 90.00
_cell_angle_gamma 90.00
_space_group_name_H-M_alt 'I m m m'
_space_group_IT_number 71
_space_group_name_Hall '-I 2 2'
loop_
_atom_site_label
_atom_site_type_symbol
_atom_site_fract_x
_atom_site_fract_y
_atom_site_fract_z
Ba1 Ba 0.000 0.000 0.156
La1 La 0.000 0.500 0.000
Co1 Co 0.000 0.500 0.500
```

The spin magnetization is 0.00 μB/cell. For the total energy, the calculation gives -3.7592 eV per atom.

---

No. 4
Compound: Ba3LaCo
Source: Alexandria via LeMat-Bulk
Functional: PBE-GGA
Structure: optimized geometry

Cell and atoms, written as CIF:
```
data_Ba3LaCo
_chemical_formula_sum 'Ba3 La1 Co1'
_cell_length_a 6.414
_cell_length_b 6.414
_cell_length_c 6.414
_cell_angle_alpha 90.00
_cell_angle_beta 90.00
_cell_angle_gamma 90.00
_space_group_name_H-M_alt 'P m -3 m'
_space_group_IT_number 221
_space_group_name_Hall '-P 4 2 3'
loop_
_atom_site_label
_atom_site_type_symbol
_atom_site_fract_x
_atom_site_fract_y
_atom_site_fract_z
Ba1 Ba 0.000 0.000 0.500
La1 La 0.000 0.000 0.000
Co1 Co 0.500 0.500 0.500
```

The spin magnetization is 3.44 μB/cell. For the total energy, the calculation gives -2.3480 eV per atom.

---

No. 5
Compound: Ba2LaCo
Source: Alexandria via LeMat-Bulk
Functional: PBE-GGA
Structure: optimized geometry

Cell and atoms, written as CIF:
```
data_Ba2LaCo
_chemical_formula_sum 'Ba4 La2 Co2'
_cell_length_a 7.439
_cell_length_b 9.883
_cell_length_c 4.064
_cell_angle_alpha 90.00
_cell_angle_beta 90.00
_cell_angle_gamma 90.00
_space_group_name_H-M_alt 'C m m m'
_space_group_IT_number 65
_space_group_name_Hall '-C 2 2'
loop_
_atom_site_label
_atom_site_type_symbol
_atom_site_fract_x
_atom_site_fract_y
_atom_site_fract_z
Ba1 Ba 0.250 0.250 0.000
La1 La 0.000 0.000 0.500
Co1 Co 0.000 0.500 0.500
```

The spin magnetization is 2.88 μB/cell. For the total energy, the calculation gives -3.2789 eV per atom.

---

No. 6
Compound: Ba2LaCo
Source: Alexandria via LeMat-Bulk
Functional: PBE-GGA
Structure: optimized geometry

Cell and atoms, written as CIF:
```
data_Ba2LaCo
_chemical_formula_sum 'Ba4 La2 Co2'
_cell_length_a 4.902
_cell_length_b 5.809
_cell_length_c 10.697
_cell_angle_alpha 90.00
_cell_angle_beta 90.00
_cell_angle_gamma 90.00
_space_group_name_H-M_alt 'C m m 2'
_space_group_IT_number 35
loop_
_space_group_symop_operation_xyz
'x,y,z'
'-x,-y,z'
'-x,y,z'
'x,-y,z'
'x+1/2,y+1/2,z'
'-x+1/2,-y+1/2,z'
'-x+1/2,y+1/2,z'
'x+1/2,-y+1/2,z'
loop_
_atom_site_label
_atom_site_type_symbol
_atom_site_fract_x
_atom_site_fract_y
_atom_site_fract_z
Ba1 Ba 0.000 0.000 0.000
Ba2 Ba 0.000 0.500 0.359
La1 La 0.000 0.500 0.681
Co1 Co 0.000 0.000 0.572
```

The spin magnetization is 0.05 μB/cell. For the total energy, the calculation gives -3.7723 eV per atom.

---

No. 7
Compound: Ba2LaCo
Source: Alexandria via LeMat-Bulk
Functional: PBE-GGA
Structure: optimized geometry

Cell and atoms, written as CIF:
```
data_Ba2LaCo
_chemical_formula_sum 'Ba4 La2 Co2'
_cell_length_a 5.740
_cell_length_b 5.740
_cell_length_c 8.065
_cell_angle_alpha 90.00
_cell_angle_beta 90.00
_cell_angle_gamma 90.00
_space_group_name_H-M_alt 'I -4 m 2'
_space_group_IT_number 119
_space_group_name_Hall 'I -4 -2'
loop_
_atom_site_label
_atom_site_type_symbol
_atom_site_fract_x
_atom_site_fract_y
_atom_site_fract_z
Ba1 Ba 0.000 0.000 0.000
Ba2 Ba 0.000 0.500 0.250
La1 La 0.000 0.000 0.500
Co1 Co 0.000 0.500 0.750
```

The spin magnetization is 1.82 μB/cell. For the total energy, the calculation gives -3.3474 eV per atom.

---

No. 8
Compound: BaLaCo2
Source: Alexandria via LeMat-Bulk
Functional: PBE-GGA
Structure: optimized geometry

Cell and atoms, written as CIF:
```
data_BaLaCo2
_chemical_formula_sum 'Ba1 La1 Co2'
_cell_length_a 3.660
_cell_length_b 3.649
_cell_length_c 7.395
_cell_angle_alpha 90.00
_cell_angle_beta 90.16
_cell_angle_gamma 90.00
_space_group_name_H-M_alt 'P 1 2/m 1'
_space_group_IT_number 10
loop_
_space_group_symop_operation_xyz
'x,y,z'
'-x,-y,-z'
'-x,y,-z'
'x,-y,z'
loop_
_atom_site_label
_atom_site_type_symbol
_atom_site_fract_x
_atom_site_fract_y
_atom_site_fract_z
Ba1 Ba 0.000 0.000 0.000
La1 La 0.000 0.000 0.500
Co1 Co 0.499 0.500 0.689
```

The spin magnetization is 1.59 μB/cell. For the total energy, the calculation gives -4.9312 eV per atom.

---

No. 9
Compound: BaLiLa2Co
Source: Alexandria via LeMat-Bulk
Functional: PBE-GGA
Structure: optimized geometry

Cell and atoms, written as CIF:
```
data_BaLiLa2Co
_chemical_formula_sum 'Ba1 Li1 La2 Co1'
_cell_length_a 5.311
_cell_length_b 5.311
_cell_length_c 6.361
_cell_angle_alpha 90.00
_cell_angle_beta 90.00
_cell_angle_gamma 90.00
_space_group_name_H-M_alt 'P 4/m m m'
_space_group_IT_number 123
_space_group_name_Hall '-P 4 2'
loop_
_atom_site_label
_atom_site_type_symbol
_atom_site_fract_x
_atom_site_fract_y
_atom_site_fract_z
Ba1 Ba 0.000 0.000 0.000
Li1 Li 0.500 0.500 0.000
La1 La 0.000 0.500 0.500
Co1 Co 0.000 0.000 0.500
```

The spin magnetization is 0.00 μB/cell. For the total energy, the calculation gives -4.0854 eV per atom.

---

No. 10
Compound: BaLiLa2Co
Source: Alexandria via LeMat-Bulk
Functional: PBE-GGA
Structure: optimized geometry

Cell and atoms, written as CIF:
```
data_BaLiLa2Co
_chemical_formula_sum 'Ba1 Li1 La2 Co1'
_cell_length_a 5.293
_cell_length_b 5.293
_cell_length_c 5.873
_cell_angle_alpha 90.00
_cell_angle_beta 90.00
_cell_angle_gamma 90.00
_space_group_name_H-M_alt 'P 4/m m m'
_space_group_IT_number 123
_space_group_name_Hall '-P 4 2'
loop_
_atom_site_label
_atom_site_type_symbol
_atom_site_fract_x
_atom_site_fract_y
_atom_site_fract_z
Ba1 Ba 0.000 0.000 0.000
Li1 Li 0.500 0.500 0.000
La1 La 0.000 0.500 0.500
Co1 Co 0.500 0.500 0.500
```

The spin magnetization is 0.00 μB/cell. For the total energy, the calculation gives -4.0787 eV per atom.

---

No. 11
Compound: BaLa2MgCo
Source: Alexandria via LeMat-Bulk
Functional: PBE-GGA
Structure: optimized geometry

Cell and atoms, written as CIF:
```
data_BaLa2MgCo
_chemical_formula_sum 'Ba1 La2 Mg1 Co1'
_cell_length_a 5.341
_cell_length_b 5.341
_cell_length_c 6.103
_cell_angle_alpha 90.00
_cell_angle_beta 90.00
_cell_angle_gamma 90.00
_space_group_name_H-M_alt 'P 4/m m m'
_space_group_IT_number 123
_space_group_name_Hall '-P 4 2'
loop_
_atom_site_label
_atom_site_type_symbol
_atom_site_fract_x
_atom_site_fract_y
_atom_site_fract_z
Ba1 Ba 0.000 0.000 0.000
La1 La 0.000 0.500 0.500
Mg1 Mg 0.500 0.500 0.000
Co1 Co 0.000 0.000 0.500
```

The spin magnetization is 0.00 μB/cell. For the total energy, the calculation gives -4.0476 eV per atom.

---

No. 12
Compound: BaLa2MgCo
Source: Alexandria via LeMat-Bulk
Functional: PBE-GGA
Structure: optimized geometry

Cell and atoms, written as CIF:
```
data_BaLa2MgCo
_chemical_formula_sum 'Ba1 La2 Mg1 Co1'
_cell_length_a 5.427
_cell_length_b 5.427
_cell_length_c 5.496
_cell_angle_alpha 90.00
_cell_angle_beta 90.00
_cell_angle_gamma 90.00
_space_group_name_H-M_alt 'P 4/m m m'
_space_group_IT_number 123
_space_group_name_Hall '-P 4 2'
loop_
_atom_site_label
_atom_site_type_symbol
_atom_site_fract_x
_atom_site_fract_y
_atom_site_fract_z
Ba1 Ba 0.000 0.000 0.000
La1 La 0.000 0.500 0.500
Mg1 Mg 0.500 0.500 0.000
Co1 Co 0.500 0.500 0.500
```

The spin magnetization is 0.00 μB/cell. For the total energy, the calculation gives -4.1187 eV per atom.

---

No. 13
Compound: BaLaMn2Co
Source: Alexandria via LeMat-Bulk
Functional: PBE-GGA
Structure: optimized geometry

Cell and atoms, written as CIF:
```
data_BaLaMn2Co
_chemical_formula_sum 'Ba1 La1 Mn2 Co1'
_cell_length_a 5.530
_cell_length_b 5.530
_cell_length_c 4.913
_cell_angle_alpha 90.00
_cell_angle_beta 90.00
_cell_angle_gamma 90.00
_space_group_name_H-M_alt 'P 4/m m m'
_space_group_IT_number 123
_space_group_name_Hall '-P 4 2'
loop_
_atom_site_label
_atom_site_type_symbol
_atom_site_fract_x
_atom_site_fract_y
_atom_site_fract_z
Ba1 Ba 0.000 0.000 0.000
La1 La 0.500 0.500 0.500
Mn1 Mn 0.000 0.500 0.500
Co1 Co 0.500 0.500 0.000
```

The spin magnetization is 8.49 μB/cell. For the total energy, the calculation gives -5.4258 eV per atom.

---

No. 14
Compound: Ba2NaLaCo
Source: Alexandria via LeMat-Bulk
Functional: PBE-GGA
Structure: optimized geometry

Cell and atoms, written as CIF:
```
data_Ba2NaLaCo
_chemical_formula_sum 'Ba2 Na1 La1 Co1'
_cell_length_a 6.348
_cell_length_b 6.348
_cell_length_c 5.165
_cell_angle_alpha 90.00
_cell_angle_beta 90.00
_cell_angle_gamma 90.00
_space_group_name_H-M_alt 'P 4/m m m'
_space_group_IT_number 123
_space_group_name_Hall '-P 4 2'
loop_
_atom_site_label
_atom_site_type_symbol
_atom_site_fract_x
_atom_site_fract_y
_atom_site_fract_z
Ba1 Ba 0.000 0.500 0.000
Na1 Na 0.000 0.000 0.500
La1 La 0.500 0.500 0.500
Co1 Co 0.500 0.500 0.000
```

The spin magnetization is 0.00 μB/cell. For the total energy, the calculation gives -3.3184 eV per atom.

---

No. 15
Compound: BaNaLa2Co
Source: Alexandria via LeMat-Bulk
Functional: PBE-GGA
Structure: optimized geometry

Cell and atoms, written as CIF:
```
data_BaNaLa2Co
_chemical_formula_sum 'Ba1 Na1 La2 Co1'
_cell_length_a 5.320
_cell_length_b 5.320
_cell_length_c 6.298
_cell_angle_alpha 90.00
_cell_angle_beta 90.00
_cell_angle_gamma 90.00
_space_group_name_H-M_alt 'P 4/m m m'
_space_group_IT_number 123
_space_group_name_Hall '-P 4 2'
loop_
_atom_site_label
_atom_site_type_symbol
_atom_site_fract_x
_atom_site_fract_y
_atom_site_fract_z
Ba1 Ba 0.000 0.000 0.000
Na1 Na 0.500 0.500 0.000
La1 La 0.000 0.500 0.500
Co1 Co 0.500 0.500 0.500
```

The spin magnetization is 0.00 μB/cell. For the total energy, the calculation gives -3.9245 eV per atom.

---

No. 16
Compound: BaNaLa2Co
Source: Alexandria via LeMat-Bulk
Functional: PBE-GGA
Structure: optimized geometry

Cell and atoms, written as CIF:
```
data_BaNaLa2Co
_chemical_formula_sum 'Ba1 Na1 La2 Co1'
_cell_length_a 5.376
_cell_length_b 5.376
_cell_length_c 6.467
_cell_angle_alpha 90.00
_cell_angle_beta 90.00
_cell_angle_gamma 90.00
_space_group_name_H-M_alt 'P 4/m m m'
_space_group_IT_number 123
_space_group_name_Hall '-P 4 2'
loop_
_atom_site_label
_atom_site_type_symbol
_atom_site_fract_x
_atom_site_fract_y
_atom_site_fract_z
Ba1 Ba 0.000 0.000 0.000
Na1 Na 0.500 0.500 0.000
La1 La 0.000 0.500 0.500
Co1 Co 0.000 0.000 0.500
```

The spin magnetization is 0.00 μB/cell. For the total energy, the calculation gives -3.9760 eV per atom.